Computed, not measured: crystalline PaCd2WO8 at its relaxed geometry at the PBE with a Hubbard U level of DFT.

Fermi-level density of states: 18.66 states/eV/cell
Energy: -164.25 eV per cell

a b c (Å): 7.0061 7.3826 6.7023
angles (deg): 90.00 90.00 90.00
Closest atoms and distances in Å follow each position.
Space group Cmmm (No. 65)
Symmetry-distinct sites (fractional):
Pa (0.0000, 0.0000, 0.0000) x2  6 O 2.05-2.26
Cd (0.0000, 0.5000, 0.2600) x4  6 O 2.25-2.40
W (0.0000, 0.0000, 0.5000) x2  6 O 1.93-1.97
O (0.0000, 0.1746, 0.2773) x8  1 W 1.97
O (0.2080, 0.5000, 0.0000) x4  1 Pa 2.05, 2 Cd 2.27
O (0.2249, 0.5000, 0.5000) x4  1 W 1.93